Compound: LuHgPb2
Source: the Alexandria database
Functional: PBE
Structure: optimized geometry

## Properties
- energy above the most stable polymorph in this dataset (eV/atom) = 0.000
- calculated volume (Å³/atom) = 26.6
- energy relative to the elements (meV per atom) = -221.1

abc: 4.583 4.822 4.822
angles: 90.00 90.00 90.00
Fractional positions:
Pb  0.000  0.500  0.000
Pb  0.000  0.000  0.500
Lu  0.500  0.000  0.000
Hg  0.500  0.500  0.500